## Pm12Pt6Pb (PBE-GGA)

Data for a relaxed structure of Pm12Pt6Pb.

Values from the calculation:
space group: No. 148
N(E_F): 1.13 states/eV/atom
calculated volume: 602 Å³ per cell
total magnetic moment: 0.000 μB/cell
final energy: -0.2130 hartree per atom
energy above the most stable polymorph in this dataset: 0.100 eV/atom
theoretical density: 8.6 Mg/m³
crystal system: trigonal
energy relative to the elements: -0.693 eV/atom

Cell: 8.6642 8.6642 8.6642 Å, 101.83 101.83 101.83°
Last column: nearest neighbours and their distance in Å.
Fractional positions:
Pm (0.0719, 0.9174, 0.3359)  2 Pt 2.84-2.85, 1 Pb 3.11
Pm (0.0826, 0.6641, 0.9281)  2 Pt 2.84-2.85, 1 Pb 3.11
Pm (0.1774, 0.4232, 0.5694)  4 Pt 2.97-3.11
Pm (0.3359, 0.0719, 0.9174)  2 Pt 2.84-2.85, 1 Pb 3.11
Pm (0.4232, 0.5694, 0.1774)  4 Pt 2.97-3.11
Pm (0.4306, 0.8226, 0.5768)  4 Pt 2.97-3.11
Pm (0.5694, 0.1774, 0.4232)  4 Pt 2.97-3.11
Pm (0.5768, 0.4306, 0.8226)  4 Pt 2.97-3.11
Pm (0.6641, 0.9281, 0.0826)  2 Pt 2.84-2.85, 1 Pb 3.11
Pm (0.8226, 0.5768, 0.4306)  4 Pt 2.97-3.11
Pm (0.9174, 0.3359, 0.0719)  2 Pt 2.84-2.85, 1 Pb 3.11
Pm (0.9281, 0.0826, 0.6641)  2 Pt 2.84-2.85, 1 Pb 3.11
Pt (0.1408, 0.6084, 0.3126)  6 Pm 2.84-3.11
Pt (0.3126, 0.1408, 0.6084)  6 Pm 2.84-3.11
Pt (0.3916, 0.6874, 0.8592)  6 Pm 2.84-3.11
Pt (0.6084, 0.3126, 0.1408)  6 Pm 2.84-3.11
Pt (0.6874, 0.8592, 0.3916)  6 Pm 2.84-3.11
Pt (0.8592, 0.3916, 0.6874)  6 Pm 2.84-3.11
Pb (0.0000, 0.0000, 0.0000)  6 Pm 3.11

***

## PmPtPb (PBE-GGA)

Data for a relaxed structure of PmPtPb.

Values from the calculation:
space group: No. 216
N(E_F): 2.12 states/eV/atom
calculated volume: 322 Å³ per cell
total magnetic moment: 0.001 μB/cell
final energy: -0.2069 hartree per atom
energy above the most stable polymorph in this dataset: 0.025 eV/atom
theoretical density: 11.3 Mg/m³
crystal system: cubic
energy relative to the elements: -0.798 eV/atom

Cell: 6.8569 6.8569 6.8569 Å, 90.00 90.00 90.00°
Last column: nearest neighbours and their distance in Å.
Fractional positions:
Pm (0.0000, 0.0000, 0.0000)  4 Pt 2.97
Pm (0.0000, 0.5000, 0.5000)  4 Pt 2.97
Pm (0.5000, 0.0000, 0.5000)  4 Pt 2.97
Pm (0.5000, 0.5000, 0.0000)  4 Pt 2.97
Pt (0.2500, 0.2500, 0.7500)  4 Pb 2.97, 4 Pm 2.97
Pt (0.2500, 0.7500, 0.2500)  4 Pb 2.97, 4 Pm 2.97
Pt (0.7500, 0.2500, 0.2500)  4 Pb 2.97, 4 Pm 2.97
Pt (0.7500, 0.7500, 0.7500)  4 Pm 2.97, 4 Pb 2.97
Pb (0.0000, 0.0000, 0.5000)  4 Pt 2.97
Pb (0.0000, 0.5000, 0.0000)  4 Pt 2.97
Pb (0.5000, 0.0000, 0.0000)  4 Pt 2.97
Pb (0.5000, 0.5000, 0.5000)  4 Pt 2.97

***

## Pm4Pt2Pb5 (PBE-GGA)

Data for a relaxed structure of Pm4Pt2Pb5.

Values from the calculation:
space group: No. 10
N(E_F): 0.51 states/eV/atom
calculated volume: 307 Å³ per cell
total magnetic moment: 0.000 μB/cell
final energy: -0.1907 hartree per atom
theoretical density: 10.9 Mg/m³
crystal system: monoclinic
energy relative to the elements: -0.679 eV/atom

Cell: 8.2608 3.7290 9.9840 Å, 90.00 94.01 90.00°
Last column: nearest neighbours and their distance in Å.
Fractional positions:
Pm (0.1978, 0.0000, 0.3456)  2 Pt 2.95
Pm (0.2099, 0.0000, 0.9309)  4 Pt 3.00-3.06
Pm (0.7901, 0.0000, 0.0691)  4 Pt 3.00-3.06
Pm (0.8022, 0.0000, 0.6544)  2 Pt 2.95
Pt (0.0791, 0.5000, 0.1324)  1 Pt 2.86, 6 Pm 2.95-3.06, 2 Pb 3.08-3.18
Pt (0.9209, 0.5000, 0.8676)  1 Pt 2.86, 6 Pm 2.95-3.06, 2 Pb 3.08-3.18
Pb (0.1461, 0.5000, 0.6348)  1 Pt 3.08, 1 Pb 3.30, 2 Pm 3.41
Pb (0.4642, 0.5000, 0.1678)  1 Pt 3.18, 2 Pb 3.31-3.44, 4 Pm 3.47
Pb (0.5000, 0.5000, 0.5000)  4 Pb 3.30-3.31, 4 Pm 3.40
Pb (0.5358, 0.5000, 0.8322)  1 Pt 3.18, 2 Pb 3.31-3.44, 4 Pm 3.47
Pb (0.8539, 0.5000, 0.3652)  1 Pt 3.08, 1 Pb 3.30, 2 Pm 3.41

***

## Pm6Pt3Pb (PBE-GGA)

Data for a relaxed structure of Pm6Pt3Pb.

Values from the calculation:
space group: No. 36
N(E_F): 0.73 states/eV/atom
calculated volume: 594 Å³ per cell
total magnetic moment: 0.000 μB/cell
final energy: -0.2121 hartree per atom
theoretical density: 9.3 Mg/m³
crystal system: orthorhombic
energy relative to the elements: -0.737 eV/atom

Cell: 9.1079 9.1079 7.3916 Å, 90.00 90.00 104.33°
Last column: nearest neighbours and their distance in Å.
Fractional positions:
Pm (0.0070, 0.9930, 0.5000)  4 Pt 2.95-3.27
Pm (0.0809, 0.5079, 0.4979)  3 Pt 2.91-3.16, 1 Pb 3.24
Pm (0.2318, 0.7682, 0.1689)  3 Pt 2.90-2.93, 1 Pb 3.12
Pm (0.2973, 0.3658, 0.0828)  4 Pt 2.92-3.05
Pm (0.3658, 0.2973, 0.5828)  4 Pt 2.92-3.05
Pm (0.4921, 0.9191, 0.4979)  3 Pt 2.91-3.16, 1 Pb 3.24
Pm (0.5079, 0.0809, 0.9979)  3 Pt 2.91-3.16, 1 Pb 3.24
Pm (0.6342, 0.7027, 0.0828)  4 Pt 2.92-3.05
Pm (0.7027, 0.6342, 0.5828)  4 Pt 2.92-3.05
Pm (0.7682, 0.2318, 0.6689)  3 Pt 2.90-2.93, 1 Pb 3.12
Pm (0.9191, 0.4921, 0.9979)  3 Pt 2.91-3.16, 1 Pb 3.24
Pm (0.9930, 0.0070, 0.0000)  4 Pt 2.95-3.27
Pt (0.0834, 0.2826, 0.7765)  6 Pm 2.90-3.16
Pt (0.2826, 0.0834, 0.2765)  6 Pm 2.90-3.16
Pt (0.4073, 0.5927, 0.3711)  7 Pm 2.93-3.05
Pt (0.5927, 0.4073, 0.8711)  7 Pm 2.93-3.05
Pt (0.7174, 0.9166, 0.7765)  6 Pm 2.90-3.16
Pt (0.9166, 0.7174, 0.2765)  6 Pm 2.90-3.16
Pb (0.1969, 0.8031, 0.7528)  5 Pm 3.12-3.46
Pb (0.8031, 0.1969, 0.2528)  5 Pm 3.12-3.46

***

## Pm7Pt2Pb2 (PBE-GGA)

Data for a relaxed structure of Pm7Pt2Pb2.

Values from the calculation:
space group: No. 65
N(E_F): 1.07 states/eV/atom
calculated volume: 353 Å³ per cell
total magnetic moment: 0.000 μB/cell
final energy: -0.1957 hartree per atom
theoretical density: 8.6 Mg/m³
crystal system: orthorhombic
energy relative to the elements: -0.529 eV/atom

Cell: 7.1290 7.1290 7.2431 Å, 90.00 90.00 106.44°
Last column: nearest neighbours and their distance in Å.
Fractional positions:
Pm (0.0000, 0.0000, 0.0000)  2 Pt 3.23
Pm (0.0000, 0.5000, 0.2514)  2 Pt 2.83
Pm (0.0000, 0.5000, 0.7486)  2 Pt 2.83
Pm (0.5000, 0.0000, 0.2514)  2 Pt 2.83
Pm (0.5000, 0.0000, 0.7486)  2 Pt 2.83
Pm (0.5000, 0.5000, 0.2369)  2 Pt 3.01, 2 Pb 3.32
Pm (0.5000, 0.5000, 0.7631)  2 Pt 3.01, 2 Pb 3.32
Pt (0.2831, 0.7169, 0.0000)  6 Pm 2.83-3.01
Pt (0.7169, 0.2831, 0.0000)  6 Pm 2.83-3.01
Pb (0.1816, 0.1816, 0.5000)  1 Pb 3.10, 6 Pm 3.32-3.43
Pb (0.8184, 0.8184, 0.5000)  1 Pb 3.10, 6 Pm 3.32-3.43

***

## Pm3PtPb2 (PBE-GGA)

Data for a relaxed structure of Pm3PtPb2.

Values from the calculation:
space group: No. 62
N(E_F): 0.76 states/eV/atom
calculated volume: 703 Å³ per cell
total magnetic moment: 0.000 μB/cell
final energy: -0.1961 hartree per atom
energy above the most stable polymorph in this dataset: 0.000 eV/atom
theoretical density: 9.9 Mg/m³
crystal system: orthorhombic
energy relative to the elements: -0.718 eV/atom

Cell: 12.6464 4.6138 12.0506 Å, 90.00 90.00 90.00°
Last column: nearest neighbours and their distance in Å.
Fractional positions:
Pm (0.0542, 0.2500, 0.1319)  1 Pt 3.03, 4 Pb 3.20-3.22
Pm (0.1200, 0.7500, 0.5493)  3 Pt 3.14-3.20, 5 Pb 3.24-3.42, 1 Pm 3.48
Pm (0.2390, 0.2500, 0.8011)  2 Pt 3.02, 2 Pb 3.22-3.37
Pm (0.2610, 0.7500, 0.3011)  2 Pt 3.02, 2 Pb 3.22-3.37
Pm (0.3800, 0.2500, 0.0493)  3 Pt 3.14-3.20, 5 Pb 3.24-3.42, 1 Pm 3.48
Pm (0.4458, 0.7500, 0.6319)  1 Pt 3.03, 4 Pb 3.20-3.22
Pm (0.5542, 0.2500, 0.3681)  1 Pt 3.03, 4 Pb 3.20-3.22
Pm (0.6200, 0.7500, 0.9507)  3 Pt 3.14-3.20, 5 Pb 3.24-3.42, 1 Pm 3.48
Pm (0.7390, 0.2500, 0.6989)  2 Pt 3.02, 2 Pb 3.22-3.37
Pm (0.7610, 0.7500, 0.1989)  2 Pt 3.02, 2 Pb 3.22-3.37
Pm (0.8800, 0.2500, 0.4507)  3 Pt 3.14-3.20, 5 Pb 3.24-3.42, 1 Pm 3.48
Pm (0.9458, 0.7500, 0.8681)  1 Pt 3.03, 4 Pb 3.20-3.22
Pt (0.1222, 0.2500, 0.3726)  3 Pb 2.92-2.93, 6 Pm 3.02-3.20
Pt (0.3778, 0.7500, 0.8726)  3 Pb 2.92-2.93, 6 Pm 3.02-3.20
Pt (0.6222, 0.2500, 0.1274)  3 Pb 2.92-2.93, 6 Pm 3.02-3.20
Pt (0.8778, 0.7500, 0.6274)  3 Pb 2.92-2.93, 6 Pm 3.02-3.20
Pb (0.0052, 0.2500, 0.6954)  2 Pt 2.93, 5 Pm 3.20-3.24
Pb (0.1847, 0.7500, 0.0054)  1 Pt 2.92, 2 Pm 3.22
Pb (0.3153, 0.2500, 0.5054)  1 Pt 2.92, 2 Pm 3.22
Pb (0.4948, 0.7500, 0.1954)  2 Pt 2.93, 5 Pm 3.20-3.24
Pb (0.5052, 0.2500, 0.8046)  2 Pt 2.93, 5 Pm 3.20-3.24
Pb (0.6847, 0.7500, 0.4946)  1 Pt 2.92, 2 Pm 3.22
Pb (0.8153, 0.2500, 0.9946)  1 Pt 2.92, 2 Pm 3.22
Pb (0.9948, 0.7500, 0.3046)  2 Pt 2.93, 5 Pm 3.20-3.24

***

## PmPt8Pb3 (PBE-GGA)

Data for a relaxed structure of PmPt8Pb3.

Values from the calculation:
space group: No. 156
N(E_F): 0.50 states/eV/atom
calculated volume: 236 Å³ per cell
total magnetic moment: 0.000 μB/cell
final energy: -0.2105 hartree per atom
theoretical density: 16.4 Mg/m³
crystal system: trigonal
energy relative to the elements: -0.378 eV/atom

Cell: 5.5142 5.5142 8.9617 Å, 90.00 90.00 120.00°
Last column: nearest neighbours and their distance in Å.
Fractional positions:
Pm (0.0000, 0.0000, 0.0000)  12 Pt 3.16-3.26, 4 Pb 3.42-3.45
Pt (0.1655, 0.3311, 0.6816)  6 Pt 2.72-2.81
Pt (0.1655, 0.8345, 0.6816)  6 Pt 2.72-2.81
Pt (0.3333, 0.6667, 0.4247)  6 Pt 2.77-2.81
Pt (0.3333, 0.6667, 0.9275)  6 Pt 2.72
Pt (0.5015, 0.0031, 0.1727)  6 Pt 2.72-2.78
Pt (0.5015, 0.4985, 0.1727)  6 Pt 2.72-2.78
Pt (0.6689, 0.8345, 0.6816)  6 Pt 2.72-2.81
Pt (0.9969, 0.4985, 0.1727)  6 Pt 2.72-2.78
Pb (0.0000, 0.0000, 0.3815)  12 Pt 3.12-3.33, 3 Pb 3.30, 1 Pm 3.42
Pb (0.6667, 0.3333, 0.4792)  12 Pt 3.17-3.30, 4 Pb 3.30-3.35
Pb (0.6667, 0.3333, 0.8527)  12 Pt 3.15-3.27, 1 Pb 3.35, 3 Pm 3.45

***

## PmPt4Pb (PBE-GGA)

Data for a relaxed structure of PmPt4Pb.

Values from the calculation:
space group: No. 216
N(E_F): 0.63 states/eV/atom
calculated volume: 117 Å³ per cell
total magnetic moment: 0.000 μB/cell
final energy: -0.2259 hartree per atom
theoretical density: 16.1 Mg/m³
crystal system: cubic
energy relative to the elements: -0.709 eV/atom

Cell: 5.4847 5.4847 5.4847 Å, 60.00 60.00 60.00°
Last column: nearest neighbours and their distance in Å.
Fractional positions:
Pm (0.0000, 0.0000, 0.0000)  12 Pt 3.22, 4 Pb 3.36
Pt (0.3750, 0.3750, 0.3750)  6 Pt 2.74
Pt (0.3750, 0.3750, 0.8751)  6 Pt 2.74
Pt (0.3750, 0.8751, 0.3750)  6 Pt 2.74
Pt (0.8751, 0.3750, 0.3750)  6 Pt 2.74
Pb (0.7500, 0.7500, 0.7500)  12 Pt 3.22, 4 Pm 3.36

***

## PmPt2Pb (PBE-GGA)

Data for a relaxed structure of PmPt2Pb.

Values from the calculation:
space group: No. 123
N(E_F): 0.48 states/eV/atom
calculated volume: 88 Å³ per cell
total magnetic moment: 0.000 μB/cell
final energy: -0.2123 hartree per atom
theoretical density: 14.1 Mg/m³
crystal system: tetragonal
energy relative to the elements: -0.642 eV/atom

Cell: 4.8574 4.8574 3.7141 Å, 90.00 90.00 90.00°
Last column: nearest neighbours and their distance in Å.
Fractional positions:
Pm (0.0000, 0.0000, 0.0000)  8 Pt 3.06
Pt (0.0000, 0.5000, 0.5000)  4 Pb 3.06, 4 Pm 3.06
Pt (0.5000, 0.0000, 0.5000)  4 Pb 3.06, 4 Pm 3.06
Pb (0.5000, 0.5000, 0.0000)  8 Pt 3.06

***

## PmPt2Pb (PBE-GGA)

Data for a relaxed structure of PmPt2Pb.

Values from the calculation:
space group: No. 6
N(E_F): 0.60 states/eV/atom
calculated volume: 92 Å³ per cell
total magnetic moment: 0.000 μB/cell
final energy: -0.2156 hartree per atom
theoretical density: 13.4 Mg/m³
crystal system: monoclinic
energy relative to the elements: -0.731 eV/atom

Cell: 4.0522 4.2980 5.6512 Å, 90.00 110.90 90.00°
Last column: nearest neighbours and their distance in Å.
Fractional positions:
Pm (0.0000, 0.0000, 0.0000)  7 Pt 2.94-3.10
Pt (0.5512, 0.5000, 0.1038)  2 Pt 2.80, 1 Pb 2.84, 4 Pm 3.00-3.01
Pt (0.7216, 0.0000, 0.4435)  2 Pt 2.80, 3 Pm 2.94-3.10, 4 Pb 3.02
Pb (0.2817, 0.5000, 0.5649)  7 Pt 2.84-3.17